{
  "formula": "Nb3MoH",
  "functional": "PBE",
  "state": "relaxed",
  "cell": [[4.8475, 0.0000, 0.0000], [0.0000, 4.8475, 0.0000], [0.0000, 0.0000, 4.8475]],
  "species": ["Nb", "Nb", "Nb", "Mo", "H"],
  "fractional_positions": [[0.0000, 0.0000, 0.5000], [0.0000, 0.5000, 0.0000], [0.5000, 0.0000, 0.0000], [0.0000, 0.0000, 0.0000], [0.5000, 0.5000, 0.5000]],
  "total_magnetization_mub_per_fu": 0.00,
  "e_tot_ev_per_cell": -34.78,
  "relative_energy_ev_per_fu": 8.702,
  "dos_ef_per_ev_cell": 5.89
}